## A
DFT (PBE) results for a geometry-optimized BeFeB4 structure.

Cell and atoms, written as CIF:
```
data_BeFeB4
_cell_length_a 2.9165
_cell_length_b 2.9165
_cell_length_c 6.0964
_cell_angle_alpha 90.00
_cell_angle_beta 90.00
_cell_angle_gamma 120.00
_symmetry_space_group_name_H-M 'P 1'
_symmetry_Int_Tables_number 1
loop_
_symmetry_equiv_pos_as_xyz
'x,y,z'
loop_
_atom_site_label
_atom_site_fract_x
_atom_site_fract_y
_atom_site_fract_z
Be1 0.0000 0.0000 0.0000
Fe1 0.0000 0.0000 0.5000
B1 0.3333 0.6667 0.2372
B2 0.3333 0.6667 0.7628
B3 0.6667 0.3333 0.2372
B4 0.6667 0.3333 0.7628
```

Values from the calculation:
**Magnetization**: 2.29 μB/f.u.
**ρ**: 4.0 Mg/m³
**Symmetry**: P6/mmm, No. 191
**Crystal system**: hexagonal


## B
DFT (PBE) results for a geometry-optimized BeFeB4 structure.

Cell and atoms, written as CIF:
```
data_BeFeB4
_cell_length_a 2.8943
_cell_length_b 5.1021
_cell_length_c 5.9352
_cell_angle_alpha 90.00
_cell_angle_beta 90.00
_cell_angle_gamma 90.00
_symmetry_space_group_name_H-M 'P 1'
_symmetry_Int_Tables_number 1
loop_
_symmetry_equiv_pos_as_xyz
'x,y,z'
loop_
_atom_site_label
_atom_site_fract_x
_atom_site_fract_y
_atom_site_fract_z
Be1 0.0000 0.0000 0.0000
Be2 0.5000 0.5000 0.5000
Fe1 0.0000 0.0000 0.5000
Fe2 0.5000 0.5000 0.0000
B1 0.0000 0.3375 0.2589
B2 0.0000 0.3375 0.7411
B3 0.0000 0.6625 0.2589
B4 0.0000 0.6625 0.7411
B5 0.5000 0.1625 0.2411
B6 0.5000 0.1625 0.7589
B7 0.5000 0.8375 0.2411
B8 0.5000 0.8375 0.7589
```

Values from the calculation:
**Magnetization**: 1.32 μB/f.u.
**ρ**: 4.1 Mg/m³
**Symmetry**: Immm, No. 71
**Crystal system**: orthorhombic


Most stable structure among those shown: B. Next: +0.032 eV/atom.